A relaxed PmSmY2Er5 crystal, computed with GGA-PBE.

Results
As for the energy of formation: 0.294 eV per atom. The total energy is -4.729 eV per atom.

a b c (Å): 9.7304 9.7304 9.7304
angles (deg): 126.26 126.26 79.46
Fractional coordinates of all 18 atoms:
Pm: 0.2500 0.2500 0.0000
Pm: 0.7500 0.7500 0.0000
Sm: 0.2500 0.7500 0.5000
Sm: 0.7500 0.2500 0.5000
Y: 0.1155 0.6155 0.7309
Y: 0.3845 0.1155 0.5000
Y: 0.6155 0.8845 0.5000
Y: 0.8845 0.3845 0.2691
Er: 0.0000 0.0000 0.0000
Er: 0.0702 0.1592 0.5000
Er: 0.1592 0.6592 0.0890
Er: 0.3408 0.4298 0.5000
Er: 0.4298 0.9298 0.0890
Er: 0.5000 0.5000 0.0000
Er: 0.5702 0.0702 0.9110
Er: 0.6592 0.5702 0.5000
Er: 0.8408 0.3408 0.9110
Er: 0.9298 0.8408 0.5000

A relaxed Co4Ni3Pd2 crystal, computed with GGA-PBE.

Results
As for the energy of formation: 0.215 eV per atom. The total energy is -6.024 eV per atom.

a b c (Å): 7.1403 7.1403 4.6993
angles (deg): 97.15 97.15 105.87
Fractional coordinates of all 18 atoms:
Co: 0.0227 0.1723 0.4961
Co: 0.1723 0.0227 0.9961
Co: 0.3560 0.3841 0.3594
Co: 0.3841 0.3560 0.8594
Co: 0.6159 0.6440 0.1406
Co: 0.6440 0.6159 0.6406
Co: 0.8277 0.9773 0.0039
Co: 0.9773 0.8277 0.5039
Ni: 0.0527 0.3078 0.0221
Ni: 0.2920 0.7080 0.2500
Ni: 0.3078 0.0527 0.5221
Ni: 0.6922 0.9473 0.4779
Ni: 0.7080 0.2920 0.7500
Ni: 0.9473 0.6922 0.9779
Pd: 0.1551 0.5468 0.6864
Pd: 0.4532 0.8449 0.8136
Pd: 0.5468 0.1551 0.1864
Pd: 0.8449 0.4532 0.3136

What did the first record say?
A relaxed PmSmY2Er5 crystal, computed with GGA-PBE.

Results
As for the energy of formation: 0.294 eV per atom. The total energy is -4.729 eV per atom.

a b c (Å): 9.7304 9.7304 9.7304
angles (deg): 126.26 126.26 79.46
Fractional coordinates of all 18 atoms:
Pm: 0.2500 0.2500 0.0000
Pm: 0.7500 0.7500 0.0000
Sm: 0.2500 0.7500 0.5000
Sm: 0.7500 0.2500 0.5000
Y: 0.1155 0.6155 0.7309
Y: 0.3845 0.1155 0.5000
Y: 0.6155 0.8845 0.5000
Y: 0.8845 0.3845 0.2691
Er: 0.0000 0.0000 0.0000
Er: 0.0702 0.1592 0.5000
Er: 0.1592 0.6592 0.0890
Er: 0.3408 0.4298 0.5000
Er: 0.4298 0.9298 0.0890
Er: 0.5000 0.5000 0.0000
Er: 0.5702 0.0702 0.9110
Er: 0.6592 0.5702 0.5000
Er: 0.8408 0.3408 0.9110
Er: 0.9298 0.8408 0.5000

> Which formula does entry 1 have?

PmSmY2Er5

> The lowest energy of formation belongs to which entry?

Co4Ni3Pd2